1.
Cs3H5S2 | PBE | relaxed

* total energy: -2.88 eV per atom
* magnetization: 0.000 μB/cell

abc: 8.850 10.403 10.403
angles: 39.38 64.83 64.83
Element x y z (fractional)
Cs 0.630 0.340 0.400
Cs 0.370 0.660 0.600
Cs 0.750 0.000 0.000
Cs 0.870 0.600 0.660
Cs 0.130 0.400 0.340
Cs 0.250 0.000 0.000
H 0.211 0.693 0.885
H 0.750 0.500 0.500
H 0.415 0.835 0.835
H 0.789 0.307 0.115
H 0.085 0.165 0.165
H 0.289 0.115 0.307
H 0.250 0.500 0.500
H 0.711 0.885 0.693
H 0.915 0.835 0.835
H 0.585 0.165 0.165
S 0.656 0.807 0.881
S 0.844 0.119 0.193
S 0.344 0.193 0.119
S 0.156 0.881 0.807


2.
CdTeCl2 | PBE | relaxed

* relative energy among the computed polymorphs: 0.165 eV per atom
* magnetization: 0.000 μB/cell
* DOS(E_F): 0.67 states/eV/f.u.
* uncorrected formation energy: -145 kJ/mol of formula units

abc: 4.724 4.713 5.155
angles: 90.00 90.00 90.00
Element x y z (fractional)
Cl 0.500 0.500 0.127
Cl 0.000 0.000 0.106
Te 0.000 0.000 0.642
Cd 0.500 0.500 0.626


3.
Sr3TaBe | PBE | relaxed

* relative energy among the computed polymorphs: 0.254 eV per atom
* magnetization: 0.000 μB/cell
* DOS(E_F): 4.40 states/eV/f.u.
* formation energy from the elements: 7.24 eV/f.u.

abc: 5.893 5.893 5.893
angles: 90.00 90.00 90.00
Element x y z (fractional)
Be 0.500 0.500 0.500
Sr 0.000 0.500 0.000
Sr 0.000 0.000 0.500
Sr 0.500 0.000 0.000
Ta 0.000 0.000 0.000


4.
BeBi3H | PBE | relaxed

* total energy: -3.00 eV per atom
* magnetization: 0.000 μB/cell
* DOS(E_F): 2.68 states/eV/f.u.

abc: 4.860 4.860 4.860
angles: 90.00 90.00 90.00
Element x y z (fractional)
Bi 0.000 0.000 0.500
Bi 0.500 0.000 0.000
Bi 0.000 0.500 0.000
Be 0.500 0.500 0.500
H 0.000 0.000 0.000


5.
Be3TlC | PBE | relaxed

* relative energy among the computed polymorphs: 1.738 eV per atom
* magnetization: 2.448 μB/cell
* DOS(E_F): 3.86 states/eV/f.u.
* formation energy from the elements: 11.81 eV/f.u.

abc: 4.555 4.555 4.555
angles: 90.00 90.00 90.00
Site moments in Bohr magnetons follow the coordinates.
Element x y z (fractional)
Be 0.000 0.000 0.500  0.03
Be 0.000 0.500 0.000  0.04
Be 0.500 0.000 0.000  0.04
Tl 0.000 0.000 0.000  0.09
C 0.500 0.500 0.500  0.94


6.
Pr12Dy6Ho | PBE | relaxed

* relative energy among the computed polymorphs: 0.105 eV per atom
* magnetization: 0.000 μB/cell
* DOS(E_F): 29.82 states/eV/f.u.
* formation energy from the elements: 4.43 eV/f.u.

abc: 9.318 9.318 9.318
angles: 106.64 106.64 106.64
Element x y z (fractional)
Pr 0.486 0.192 0.584
Pr 0.872 0.175 0.722
Pr 0.514 0.808 0.416
Pr 0.825 0.278 0.128
Pr 0.278 0.128 0.825
Pr 0.128 0.825 0.278
Pr 0.192 0.584 0.486
Pr 0.416 0.514 0.808
Pr 0.175 0.722 0.872
Pr 0.584 0.486 0.192
Pr 0.722 0.872 0.175
Pr 0.808 0.416 0.514
Dy 0.192 0.451 0.080
Dy 0.808 0.549 0.920
Dy 0.451 0.080 0.192
Dy 0.080 0.192 0.451
Dy 0.920 0.808 0.549
Dy 0.549 0.920 0.808
Ho 0.000 0.000 0.000